1.
Pr3Ag2Au6 | PBE-GGA | optimized geometry

Values from the calculation:
Energy of formation from the pure elements = -476 meV/atom
Symmetry = No. 139

Cell: 13.534 13.534 13.534 Å, 161.08 161.08 26.88°
Fractional coordinates of all 11 atoms:
Pr (0.000, 0.000, 0.000)
Pr (0.199, 0.199, 0.000)
Pr (0.801, 0.801, 0.000)
Ag (0.451, 0.451, 0.000)
Ag (0.549, 0.549, 0.000)
Au (0.111, 0.611, 0.500)
Au (0.315, 0.315, 0.000)
Au (0.389, 0.889, 0.500)
Au (0.611, 0.111, 0.500)
Au (0.685, 0.685, 0.000)
Au (0.889, 0.389, 0.500)

---

2.
Dy2PuCo | PBE-GGA | optimized geometry

Values from the calculation:
Energy of formation from the pure elements = 257 meV/atom
Energy relative to the lowest polymorph listed for this composition = 0.255 eV/atom
Symmetry = No. 166

Cell: 10.317 10.317 10.317 Å, 19.77 19.77 19.77°
Fractional coordinates of all 4 atoms:
Dy (0.112, 0.112, 0.112)
Dy (0.888, 0.888, 0.888)
Pu (0.000, 0.000, 0.000)
Co (0.500, 0.500, 0.500)

---

3.
TaBRu3 | PBE-GGA | optimized geometry

Values from the calculation:
Energy of formation from the pure elements = -171 meV/atom
Symmetry = No. 14

Cell: 7.104 5.294 9.382 Å, 90.00 130.05 90.00°
Fractional coordinates of all 20 atoms:
Ta (0.126, 0.241, 0.073)
Ta (0.126, 0.259, 0.573)
Ta (0.874, 0.741, 0.427)
Ta (0.874, 0.759, 0.927)
B (0.253, 0.576, 0.475)
B (0.253, 0.924, 0.975)
B (0.747, 0.076, 0.025)
B (0.747, 0.424, 0.525)
Ru (0.087, 0.604, 0.783)
Ru (0.087, 0.896, 0.283)
Ru (0.357, 0.658, 0.196)
Ru (0.357, 0.842, 0.696)
Ru (0.420, 0.247, 0.948)
Ru (0.420, 0.253, 0.448)
Ru (0.580, 0.747, 0.552)
Ru (0.580, 0.753, 0.052)
Ru (0.643, 0.158, 0.304)
Ru (0.643, 0.342, 0.804)
Ru (0.913, 0.104, 0.717)
Ru (0.913, 0.396, 0.217)

---

4.
LiPaTiO6 | PBE-GGA | optimized geometry

Values from the calculation:
Formation energy without anion corrections = -2.504 eV per atom
Symmetry = No. 149

Cell: 5.169 5.169 4.822 Å, 90.00 90.00 120.00°
Fractional coordinates of all 9 atoms:
Li (0.000, 0.000, 0.000)
Pa (0.333, 0.667, 0.500)
Ti (0.667, 0.333, 0.000)
O (0.359, 0.016, 0.230)
O (0.359, 0.344, 0.770)
O (0.656, 0.016, 0.770)
O (0.656, 0.641, 0.230)
O (0.984, 0.344, 0.230)
O (0.984, 0.641, 0.770)

---

Number 1: uncorrected energy -44.94 eV per cell. Number 2: uncorrected energy -29.61 eV per cell. Number 3: uncorrected energy -188.85 eV per cell. Number 4: uncorrected energy -71.59 eV per cell.